Density functional theory data (GGA-PBE) for KTcN2 after structural relaxation.

abc: 5.6843 5.6843 8.7025
angles: 90.00 90.00 90.00
Space group I-42d (No. 122)
Symmetry-distinct sites (fractional):
1 K 0.0000 0.0000 0.0000
2 Tc 0.0000 0.0000 0.5000
3 N 0.0980 0.7500 0.6250

Output
* crystal system: tetragonal

=====

Density functional theory data (GGA-PBE) for K4SiPtSe6 after structural relaxation.

abc: 6.7324 7.3058 9.3858
angles: 70.28 72.45 66.18
Space group P1 (No. 1)
Symmetry-distinct sites (fractional):
1 K 0.0000 0.0000 0.0000
2 K 0.2265 0.3311 0.2081
3 K 0.4557 0.7143 0.4324
4 K 0.7025 0.0214 0.6486
5 Si 0.0006 0.4438 0.6126
6 Pt 0.7276 0.5633 0.9728
7 Se 0.0920 0.5175 0.8072
8 Se 0.1886 0.1174 0.5940
9 Se 0.5293 0.8778 0.0553
10 Se 0.6519 0.4657 0.7748
11 Se 0.7003 0.3570 0.2341
12 Se 0.9760 0.7051 0.4003

Output
* crystal system: triclinic

=====

| no. | E (eV/atom) |
| --- | --- |
| 1 | -7.1917 |
| 2 | -3.8443 |